No. 1
# Ac2Mg4AlTl3

An optimized crystal structure of Ac2Mg4AlTl3 (GGA-PBE, Alexandria via LeMat-Bulk).

Output
density	7.2	g/cm3
E_form	-0.234	eV/atom
total magnetic moment	0.0000	μB per atom
DOS(E_F)	3.69	states/eV per cell

The structure in CIF format:
```
data_Ac2Mg4AlTl3
_chemical_formula_sum 'Ac2 Mg4 Al1 Tl3'
_symmetry_space_group_name_H-M 'P -4 m 2'
_symmetry_Int_Tables_number 115
_symmetry_space_group_name_Hall 'P -4 -2'
_cell_length_a 4.809
_cell_length_b 4.809
_cell_length_c 11.926
_cell_angle_alpha 90.00
_cell_angle_beta 90.00
_cell_angle_gamma 90.00
loop_
_atom_site_label
_atom_site_type_symbol
_atom_site_fract_x
_atom_site_fract_y
_atom_site_fract_z
Ac1 Ac 0.000 0.500 0.239
Mg1 Mg 0.000 0.000 0.500
Mg2 Mg 0.000 0.500 0.872
Mg3 Mg 0.500 0.500 0.500
Al1 Al 0.500 0.500 0.000
Tl1 Tl 0.000 0.000 0.000
Tl2 Tl 0.000 0.500 0.640
```


No. 2
# Zr4CdSi

An optimized crystal structure of Zr4CdSi (GGA-PBE, Alexandria via LeMat-Bulk).

Output
density	6.3	g/cm3
formation energy from raw total energies	368	meV/atom
total magnetic moment	0.0000	μB per atom
DOS(E_F)	27.78	states/eV per cell

The structure in CIF format:
```
data_Zr4CdSi
_chemical_formula_sum 'Zr16 Cd4 Si4'
_symmetry_space_group_name_H-M 'F -4 3 m'
_symmetry_Int_Tables_number 216
_symmetry_space_group_name_Hall 'F -4 2 3'
_cell_length_a 8.100
_cell_length_b 8.100
_cell_length_c 8.100
_cell_angle_alpha 90.00
_cell_angle_beta 90.00
_cell_angle_gamma 90.00
loop_
_atom_site_label
_atom_site_type_symbol
_atom_site_fract_x
_atom_site_fract_y
_atom_site_fract_z
Zr1 Zr 0.125 0.125 0.125
Cd1 Cd 0.250 0.250 0.750
Si1 Si 0.000 0.000 0.500
```


No. 3
# YZr2Ru

An optimized crystal structure of YZr2Ru (GGA-PBE, Alexandria via LeMat-Bulk).

Output
density	7.5	g/cm3
E_form	0.027	eV/atom
total magnetic moment	0.0000	μB per atom
DOS(E_F)	21.81	states/eV per cell

The structure in CIF format:
```
data_YZr2Ru
_chemical_formula_sum 'Y4 Zr8 Ru4'
_symmetry_space_group_name_H-M 'F m -3 m'
_symmetry_Int_Tables_number 225
_symmetry_space_group_name_Hall '-F 4 2 3'
_cell_length_a 6.918
_cell_length_b 6.918
_cell_length_c 6.918
_cell_angle_alpha 90.00
_cell_angle_beta 90.00
_cell_angle_gamma 90.00
loop_
_atom_site_label
_atom_site_type_symbol
_atom_site_fract_x
_atom_site_fract_y
_atom_site_fract_z
Y1 Y 0.000 0.000 0.000
Zr1 Zr 0.250 0.250 0.250
Ru1 Ru 0.000 0.000 0.500
```


No. 4
# NbTlBi2

An optimized crystal structure of NbTlBi2 (GGA-PBE, Alexandria via LeMat-Bulk).

Output
density	11.0	g/cm3
E_form	0.496	eV/atom
total magnetic moment	0.4619	μB per atom
DOS(E_F)	13.29	states/eV per cell

The structure in CIF format:
```
data_NbTlBi2
_chemical_formula_sum 'Nb4 Tl4 Bi8'
_symmetry_space_group_name_H-M 'F m -3 m'
_symmetry_Int_Tables_number 225
_symmetry_space_group_name_Hall '-F 4 2 3'
_cell_length_a 7.548
_cell_length_b 7.548
_cell_length_c 7.548
_cell_angle_alpha 90.00
_cell_angle_beta 90.00
_cell_angle_gamma 90.00
loop_
_atom_site_label
_atom_site_type_symbol
_atom_site_fract_x
_atom_site_fract_y
_atom_site_fract_z
Nb1 Nb 0.000 0.000 0.000
Tl1 Tl 0.000 0.000 0.500
Bi1 Bi 0.250 0.250 0.250
```


Q: Which value of density does entry 1 give?
A: 7.2 g/cm3